No. 1
First-principles (GGA-PBEsol) data for FeSi2Ir after structural relaxation, as listed in the Alexandria database.

Properties
* space group: No. 99
* E_form (uncorrected): -93.7 meV per atom

a b c (Å): 2.6709 2.6709 7.1515
angles (deg): 90.00 90.00 90.00
Fractional coordinates of all 4 atoms:
1 Fe 0.0000 0.0000 0.0000
2 Si 0.0000 0.0000 0.4875
3 Si 0.5000 0.5000 0.7851
4 Ir 0.5000 0.5000 0.2502

No. 2
First-principles (GGA-PBEsol) data for Ga2AgSeF after structural relaxation, as listed in the Alexandria database.

Properties
* space group: No. 123
* E_form (uncorrected): 69.9 meV per atom

a b c (Å): 5.7358 5.7358 4.7682
angles (deg): 90.00 90.00 90.00
Fractional coordinates of all 5 atoms:
1 Ga 0.0000 0.5000 0.0000
2 Ga 0.5000 0.0000 0.0000
3 Ag 0.0000 0.0000 0.5000
4 Se 0.0000 0.0000 0.0000
5 F 0.5000 0.5000 0.5000

No. 3
First-principles (GGA-PBEsol) data for YBeAu3 after structural relaxation, as listed in the Alexandria database.

Properties
* formation energy: -0.45 eV per atom
* space group: No. 221
* offset from the most stable computed form: 142 meV/atom

a b c (Å): 4.4853 4.4853 4.4853
angles (deg): 90.00 90.00 90.00
Fractional coordinates of all 5 atoms:
1 Y 0.0000 0.0000 0.0000
2 Be 0.5000 0.5000 0.5000
3 Au 0.0000 0.5000 0.5000
4 Au 0.5000 0.0000 0.5000
5 Au 0.5000 0.5000 0.0000

No. 4
First-principles (GGA-PBEsol) data for Zn2ReRu after structural relaxation, as listed in the Alexandria database.

Properties
* formation energy: 0.18 eV per atom
* space group: No. 166
* offset from the most stable computed form: 217 meV/atom

a b c (Å): 2.7155 2.7155 25.8317
angles (deg): 90.00 90.00 120.00
Fractional coordinates of all 12 atoms:
1 Zn 0.0000 0.0000 0.2480
2 Zn 0.0000 0.0000 0.7520
3 Zn 0.3333 0.6667 0.4186
4 Zn 0.3333 0.6667 0.9147
5 Zn 0.6667 0.3333 0.0853
6 Zn 0.6667 0.3333 0.5814
7 Re 0.0000 0.0000 0.0000
8 Re 0.3333 0.6667 0.6667
9 Re 0.6667 0.3333 0.3333
10 Ru 0.0000 0.0000 0.5000
11 Ru 0.3333 0.6667 0.1667
12 Ru 0.6667 0.3333 0.8333

No. 5
First-principles (GGA-PBEsol) data for RbHNO2 after structural relaxation, as listed in the Alexandria database.

Properties
* space group: No. 123
* E_tot: -13.3 eV for the cell shown

a b c (Å): 5.3535 5.3535 6.4523
angles (deg): 90.00 90.00 90.00
Fractional coordinates of all 5 atoms:
1 Rb 0.0000 0.0000 0.0000
2 H 0.5000 0.5000 0.5000
3 N 0.0000 0.0000 0.5000
4 O 0.0000 0.5000 0.0000
5 O 0.5000 0.0000 0.0000

No. 6
First-principles (GGA-PBEsol) data for AgAsW2 after structural relaxation, as listed in the Alexandria database.

Properties
* formation energy: 0.52 eV per atom
* space group: No. 123

a b c (Å): 3.0056 3.0056 6.8460
angles (deg): 90.00 90.00 90.00
Fractional coordinates of all 4 atoms:
1 Ag 0.0000 0.0000 0.0000
2 As 0.0000 0.0000 0.5000
3 W 0.5000 0.5000 0.2775
4 W 0.5000 0.5000 0.7225

No. 7
First-principles (GGA-PBEsol) data for RbCoCuF6 after structural relaxation, as listed in the Alexandria database.

Properties
* space group: No. 74
* E_form (uncorrected): -1959.2 meV per atom

a b c (Å): 7.0790 7.0790 7.0790
angles (deg): 120.96 120.38 88.84
Fractional coordinates of all 18 atoms:
1 Rb 0.3777 0.1277 0.2500
2 Rb 0.6223 0.8723 0.7500
3 Co 0.0000 0.0000 0.5000
4 Co 0.0000 0.5000 0.0000
5 Cu 0.0000 0.5000 0.5000
6 Cu 0.5000 0.5000 0.0000
7 F 0.0611 0.8111 0.2500
8 F 0.0664 0.4163 0.2270
9 F 0.0664 0.8394 0.6501
10 F 0.3107 0.1606 0.7270
11 F 0.3107 0.5837 0.1501
12 F 0.3286 0.5786 0.7500
13 F 0.6714 0.4214 0.2500
14 F 0.6893 0.4163 0.8499
15 F 0.6893 0.8394 0.2730
16 F 0.9336 0.1606 0.3499
17 F 0.9336 0.5837 0.7730
18 F 0.9389 0.1889 0.7500

No. 8
First-principles (GGA-PBEsol) data for SrTl5 after structural relaxation, as listed in the Alexandria database.

Properties
* formation energy: -0.15 eV per atom
* space group: No. 123
* offset from the most stable computed form: 57 meV/atom

a b c (Å): 4.1001 4.1001 10.4503
angles (deg): 90.00 90.00 90.00
Fractional coordinates of all 6 atoms:
1 Sr 0.0000 0.0000 0.0000
2 Tl 0.0000 0.0000 0.3395
3 Tl 0.0000 0.0000 0.6605
4 Tl 0.5000 0.5000 0.1867
5 Tl 0.5000 0.5000 0.5000
6 Tl 0.5000 0.5000 0.8133

No. 9
First-principles (GGA-PBEsol) data for Zn2WCl after structural relaxation, as listed in the Alexandria database.

Properties
* space group: No. 12
* E_form (uncorrected): 548.6 meV per atom

a b c (Å): 10.3384 2.7291 4.3256
angles (deg): 90.00 95.82 90.00
Fractional coordinates of all 8 atoms:
1 Zn 0.2324 0.0000 0.2387
2 Zn 0.2676 0.5000 0.7613
3 Zn 0.7324 0.5000 0.2387
4 Zn 0.7676 0.0000 0.7613
5 W 0.0000 0.5000 0.0000
6 W 0.5000 0.0000 0.0000
7 Cl 0.0000 0.0000 0.5000
8 Cl 0.5000 0.5000 0.5000

No. 10
First-principles (GGA-PBEsol) data for YZr2P after structural relaxation, as listed in the Alexandria database.

Properties
* formation energy: -0.60 eV per atom
* space group: No. 99

a b c (Å): 3.4572 3.4572 7.0280
angles (deg): 90.00 90.00 90.00
Fractional coordinates of all 4 atoms:
1 Y 0.0000 0.0000 0.0000
2 Zr 0.0000 0.0000 0.5792
3 Zr 0.5000 0.5000 0.3124
4 P 0.5000 0.5000 0.7383

No. 11
First-principles (GGA-PBEsol) data for LaTaOF2 after structural relaxation, as listed in the Alexandria database.

Properties
* space group: No. 123
* E_form (uncorrected): -1326.9 meV per atom

a b c (Å): 4.5377 4.5377 4.7535
angles (deg): 90.00 90.00 90.00
Fractional coordinates of all 5 atoms:
1 La 0.0000 0.0000 0.0000
2 Ta 0.5000 0.5000 0.5000
3 O 0.0000 0.0000 0.5000
4 F 0.0000 0.5000 0.0000
5 F 0.5000 0.0000 0.0000

No. 12
First-principles (GGA-PBEsol) data for TcSb after structural relaxation, as listed in the Alexandria database.

Properties
* space group: No. 74
* E_form (uncorrected): 334.8 meV per atom
* offset from the most stable computed form: 283 meV/atom

a b c (Å): 3.2020 4.3706 10.0480
angles (deg): 90.00 90.00 90.00
Fractional coordinates of all 8 atoms:
1 Tc 0.0000 0.2500 0.1169
2 Tc 0.0000 0.7500 0.8831
3 Tc 0.5000 0.2500 0.3831
4 Tc 0.5000 0.7500 0.6169
5 Sb 0.0000 0.2500 0.6130
6 Sb 0.0000 0.7500 0.3870
7 Sb 0.5000 0.2500 0.8870
8 Sb 0.5000 0.7500 0.1130